No. 1
# Tb8Pr2Er, relaxed, DFT GGA-PBE
data_Tb8Pr2Er
_chemical_formula_sum 'Tb8 Pr2 Er1'
_symmetry_space_group_name_H-M 'P 1'
_symmetry_Int_Tables_number 1
_symmetry_space_group_name_Hall 'P 1'
_cell_length_a 9.267
_cell_length_b 9.267
_cell_length_c 5.925
_cell_angle_alpha 105.34
_cell_angle_beta 105.34
_cell_angle_gamma 121.48
loop_
_atom_site_label
_atom_site_type_symbol
_atom_site_fract_x
_atom_site_fract_y
_atom_site_fract_z
Tb1 Tb 0.099 0.328 0.673
Tb2 Tb 0.207 0.793 0.000
Tb3 Tb 0.328 0.099 0.673
Tb4 Tb 0.424 0.424 0.203
Tb5 Tb 0.576 0.576 0.797
Tb6 Tb 0.672 0.901 0.327
Tb7 Tb 0.793 0.207 0.000
Tb8 Tb 0.901 0.672 0.327
Pr1 Pr 0.307 0.693 0.500
Pr2 Pr 0.693 0.307 0.500
Er1 Er 0.000 0.000 0.000
# ΔE to the lowest computed polymorph: 135.4 meV/atom
# symmetry: C2/m, No. 12
# raw total energy: -4.50 eV per atom
# energy of formation from the pure elements: 0.155 eV per atom
# N(E_F): 14.71 states/eV per cell

=====

No. 2
# Tb8Pr3Er4, relaxed, DFT GGA-PBE
data_Tb8Pr3Er4
_chemical_formula_sum 'Tb8 Pr3 Er4'
_symmetry_space_group_name_H-M 'P 1'
_symmetry_Int_Tables_number 1
_symmetry_space_group_name_Hall 'P 1'
_cell_length_a 9.287
_cell_length_b 9.287
_cell_length_c 6.763
_cell_angle_alpha 111.22
_cell_angle_beta 111.22
_cell_angle_gamma 87.05
loop_
_atom_site_label
_atom_site_type_symbol
_atom_site_fract_x
_atom_site_fract_y
_atom_site_fract_z
Tb1 Tb 0.143 0.857 0.000
Tb2 Tb 0.228 0.228 0.016
Tb3 Tb 0.247 0.247 0.511
Tb4 Tb 0.249 0.751 0.500
Tb5 Tb 0.751 0.249 0.500
Tb6 Tb 0.753 0.753 0.489
Tb7 Tb 0.772 0.772 0.984
Tb8 Tb 0.857 0.143 0.000
Pr1 Pr 0.000 0.000 0.500
Pr2 Pr 0.000 0.500 0.000
Pr3 Pr 0.500 0.000 0.000
Er1 Er 0.000 0.500 0.500
Er2 Er 0.500 0.000 0.500
Er3 Er 0.500 0.500 0.000
Er4 Er 0.500 0.500 0.500
# symmetry: C2/m, No. 12
# raw total energy: -4.25 eV per atom
# energy of formation from the pure elements: 0.390 eV per atom
# N(E_F): 27.56 states/eV per cell

=====

No. 3
# Tb3PrEr2, relaxed, DFT GGA-PBE
data_Tb3PrEr2
_chemical_formula_sum 'Tb6 Pr2 Er4'
_symmetry_space_group_name_H-M 'P 1'
_symmetry_Int_Tables_number 1
_symmetry_space_group_name_Hall 'P 1'
_cell_length_a 7.180
_cell_length_b 7.187
_cell_length_c 8.862
_cell_angle_alpha 78.23
_cell_angle_beta 78.27
_cell_angle_gamma 60.13
loop_
_atom_site_label
_atom_site_type_symbol
_atom_site_fract_x
_atom_site_fract_y
_atom_site_fract_z
Tb1 Tb 0.139 0.139 0.164
Tb2 Tb 0.251 0.749 0.499
Tb3 Tb 0.361 0.860 0.837
Tb4 Tb 0.639 0.140 0.163
Tb5 Tb 0.749 0.251 0.501
Tb6 Tb 0.861 0.861 0.836
Pr1 Pr 0.249 0.251 0.502
Pr2 Pr 0.751 0.749 0.498
Er1 Er 0.140 0.639 0.163
Er2 Er 0.361 0.362 0.835
Er3 Er 0.639 0.638 0.165
Er4 Er 0.860 0.361 0.837
# ΔE to the lowest computed polymorph: 0.0 meV/atom
# symmetry: P-1, No. 2
# raw total energy: -4.64 eV per atom
# energy of formation from the pure elements: -0.003 eV per atom
# N(E_F): 15.00 states/eV per cell

=====

No. 4
# Tb5Pr3Er4, relaxed, DFT GGA-PBE
data_Tb5Pr3Er4
_chemical_formula_sum 'Tb5 Pr3 Er4'
_symmetry_space_group_name_H-M 'P 1'
_symmetry_Int_Tables_number 1
_symmetry_space_group_name_Hall 'P 1'
_cell_length_a 6.202
_cell_length_b 7.156
_cell_length_c 8.767
_cell_angle_alpha 90.00
_cell_angle_beta 90.09
_cell_angle_gamma 90.17
loop_
_atom_site_label
_atom_site_type_symbol
_atom_site_fract_x
_atom_site_fract_y
_atom_site_fract_z
Tb1 Tb 0.000 0.000 0.000
Tb2 Tb 0.335 0.500 0.334
Tb3 Tb 0.499 0.752 0.000
Tb4 Tb 0.501 0.248 0.000
Tb5 Tb 0.665 0.500 0.666
Pr1 Pr 0.000 0.500 0.000
Pr2 Pr 0.166 0.248 0.665
Pr3 Pr 0.834 0.752 0.335
Er1 Er 0.169 0.752 0.666
Er2 Er 0.334 0.000 0.333
Er3 Er 0.666 0.000 0.667
Er4 Er 0.831 0.248 0.334
# ΔE to the lowest computed polymorph: 0.0 meV/atom
# symmetry: P-1, No. 2
# raw total energy: -4.63 eV per atom
# energy of formation from the pure elements: 0.019 eV per atom
# N(E_F): 15.56 states/eV per cell

=====

No. 5
# Tb3PrEr12, relaxed, DFT GGA-PBE
data_Tb3PrEr12
_chemical_formula_sum 'Tb3 Pr1 Er12'
_symmetry_space_group_name_H-M 'P 1'
_symmetry_Int_Tables_number 1
_symmetry_space_group_name_Hall 'P 1'
_cell_length_a 4.989
_cell_length_b 4.989
_cell_length_c 19.966
_cell_angle_alpha 90.00
_cell_angle_beta 90.00
_cell_angle_gamma 90.00
loop_
_atom_site_label
_atom_site_type_symbol
_atom_site_fract_x
_atom_site_fract_y
_atom_site_fract_z
Tb1 Tb 0.000 0.000 0.000
Tb2 Tb 0.000 0.000 0.249
Tb3 Tb 0.000 0.000 0.751
Pr1 Pr 0.000 0.000 0.500
Er1 Er 0.000 0.500 0.124
Er2 Er 0.000 0.500 0.373
Er3 Er 0.000 0.500 0.627
Er4 Er 0.000 0.500 0.876
Er5 Er 0.500 0.000 0.124
Er6 Er 0.500 0.000 0.373
Er7 Er 0.500 0.000 0.627
Er8 Er 0.500 0.000 0.876
Er9 Er 0.500 0.500 0.000
Er10 Er 0.500 0.500 0.248
Er11 Er 0.500 0.500 0.500
Er12 Er 0.500 0.500 0.752
# symmetry: P4/mmm, No. 123
# raw total energy: -4.57 eV per atom
# energy of formation from the pure elements: 0.023 eV per atom
# N(E_F): 21.11 states/eV per cell

=====

No. 6
# Tb3Pr4Er5, relaxed, DFT GGA-PBE
data_Tb3Pr4Er5
_chemical_formula_sum 'Tb3 Pr4 Er5'
_symmetry_space_group_name_H-M 'P 1'
_symmetry_Int_Tables_number 1
_symmetry_space_group_name_Hall 'P 1'
_cell_length_a 8.598
_cell_length_b 8.598
_cell_length_c 9.429
_cell_angle_alpha 115.18
_cell_angle_beta 115.18
_cell_angle_gamma 40.53
loop_
_atom_site_label
_atom_site_type_symbol
_atom_site_fract_x
_atom_site_fract_y
_atom_site_fract_z
Tb1 Tb 0.000 0.000 0.000
Tb2 Tb 0.286 0.286 0.760
Tb3 Tb 0.714 0.714 0.240
Pr1 Pr 0.284 0.284 0.116
Pr2 Pr 0.414 0.414 0.552
Pr3 Pr 0.586 0.586 0.448
Pr4 Pr 0.716 0.716 0.884
Er1 Er 0.069 0.069 0.702
Er2 Er 0.170 0.170 0.381
Er3 Er 0.500 0.500 0.000
Er4 Er 0.830 0.830 0.619
Er5 Er 0.931 0.931 0.298
# symmetry: C2/m, No. 12
# raw total energy: -4.43 eV per atom
# energy of formation from the pure elements: 0.226 eV per atom
# N(E_F): 19.38 states/eV per cell

=====

No. 7
# Tb7Pr2Er3, relaxed, DFT GGA-PBE
data_Tb7Pr2Er3
_chemical_formula_sum 'Tb7 Pr2 Er3'
_symmetry_space_group_name_H-M 'P 1'
_symmetry_Int_Tables_number 1
_symmetry_space_group_name_Hall 'P 1'
_cell_length_a 6.354
_cell_length_b 3.527
_cell_length_c 17.497
_cell_angle_alpha 90.00
_cell_angle_beta 96.13
_cell_angle_gamma 90.00
loop_
_atom_site_label
_atom_site_type_symbol
_atom_site_fract_x
_atom_site_fract_y
_atom_site_fract_z
Tb1 Tb 0.000 0.000 0.000
Tb2 Tb 0.229 0.500 0.167
Tb3 Tb 0.257 0.500 0.498
Tb4 Tb 0.276 0.000 0.837
Tb5 Tb 0.724 0.000 0.163
Tb6 Tb 0.743 0.500 0.502
Tb7 Tb 0.771 0.500 0.833
Pr1 Pr 0.060 0.500 0.673
Pr2 Pr 0.940 0.500 0.327
Er1 Er 0.452 0.000 0.342
Er2 Er 0.500 0.500 0.000
Er3 Er 0.548 0.000 0.658
# ΔE to the lowest computed polymorph: 0.0 meV/atom
# symmetry: P2/m, No. 10
# raw total energy: -4.56 eV per atom
# energy of formation from the pure elements: 0.074 eV per atom
# N(E_F): 17.37 states/eV per cell

=====

No. 8
# Tb2Pr4Er5, relaxed, DFT GGA-PBE
data_Tb2Pr4Er5
_chemical_formula_sum 'Tb2 Pr4 Er5'
_symmetry_space_group_name_H-M 'P 1'
_symmetry_Int_Tables_number 1
_symmetry_space_group_name_Hall 'P 1'
_cell_length_a 12.521
_cell_length_b 12.521
_cell_length_c 12.521
_cell_angle_alpha 163.86
_cell_angle_beta 136.62
_cell_angle_gamma 46.57
loop_
_atom_site_label
_atom_site_type_symbol
_atom_site_fract_x
_atom_site_fract_y
_atom_site_fract_z
Tb1 Tb 0.230 0.230 0.000
Tb2 Tb 0.770 0.770 0.000
Pr1 Pr 0.096 0.096 0.000
Pr2 Pr 0.208 0.500 0.708
Pr3 Pr 0.792 0.500 0.292
Pr4 Pr 0.904 0.904 0.000
Er1 Er 0.155 0.352 0.802
Er2 Er 0.450 0.648 0.802
Er3 Er 0.500 0.000 0.500
Er4 Er 0.550 0.352 0.198
Er5 Er 0.845 0.648 0.198
# ΔE to the lowest computed polymorph: 185.6 meV/atom
# symmetry: Immm, No. 71
# raw total energy: -4.36 eV per atom
# energy of formation from the pure elements: 0.291 eV per atom
# N(E_F): 15.94 states/eV per cell